The following is a DFT calculation (PBE-GGA) of crystalline KBa2CaHg at its relaxed geometry.

Unit cell a=6.7198 b=6.7198 c=6.2069 alpha=90.00 beta=90.00 gamma=90.00
Last column: nearest neighbours and their distance in Å.
Fractional coordinates of all 5 atoms:
Ca 0.0000 0.0000 0.5000  2 Hg 3.10
K 0.5000 0.5000 0.5000  8 Ba 4.57, 4 Ca 4.75
Ba 0.5000 0.0000 0.0000  2 Hg 3.36
Ba 0.0000 0.5000 0.0000  2 Hg 3.36
Hg 0.0000 0.0000 0.0000  2 Ca 3.10, 4 Ba 3.36

Values from the calculation:
ΔE_f   -0.13 eV per atom
DOS at the Fermi energy   5.05 states/eV per cell
Relative energy among the computed polymorphs   0.000 eV/atom
Spin magnetization   0.000 Bohr magnetons per cell